[1]
A relaxed PrY6Er3 crystal, computed with PBE.

Properties
- DOS(E_F): 29.0 states/eV/cell
- Energy: -112.17 eV for the cell shown
- Space-group type: Cmc2_1, No. 36
- Formation enthalpy at 0 K: 0.117 eV per atom

The structure in POSCAR format:
```
PrY6Er3
1.0
-5.356 1.935 2.938
-6.217 -3.352 -9.124
3.105 -5.800 9.479
Er Y Pr
6 12 2
direct
0.486 0.296 0.044
0.598 0.582 0.418
0.986 0.704 0.956
0.098 0.418 0.582
0.986 0.044 0.296
0.486 0.956 0.704
0.072 0.738 0.621
0.572 0.621 0.738
0.288 0.699 0.301
0.812 0.015 0.985
0.312 0.985 0.015
0.330 0.458 0.894
0.788 0.301 0.699
0.072 0.379 0.262
0.830 0.894 0.458
0.572 0.262 0.379
0.830 0.542 0.106
0.330 0.106 0.542
0.011 0.162 0.838
0.511 0.838 0.162
```

---

[2]
A relaxed CaCuPd2 crystal, computed with PBE.

Properties
- DOS(E_F): 1.7 states/eV/cell
- Energy: -18.16 eV for the cell shown
- Space-group type: P4/mmm, No. 123
- Formation enthalpy at 0 K: -0.418 eV per atom

The structure in POSCAR format:
```
CaCuPd2
1.0
-3.238 0.404 2.070
-2.080 -2.330 -2.799
0.955 -3.460 2.169
Ca Cu Pd
1 1 2
direct
0.500 0.500 0.500
0.500 0.000 0.000
0.000 0.500 0.000
0.000 0.000 0.500
```

---

[3]
A relaxed Ho2TmTeO8 crystal, computed with PBE.

Properties
- DOS(E_F): 8.3 states/eV/cell
- Energy: -86.91 eV for the cell shown
- Space-group type: Cmmm, No. 65

The structure in POSCAR format:
```
Ho2TmTeO8
1.0
5.013 -0.056 -0.003
-0.033 5.015 -0.006
0.004 0.008 6.791
O Ho Tm Te
8 2 1 1
direct
0.693 0.694 0.500
0.723 0.724 0.000
0.277 0.276 0.000
0.182 0.817 0.216
0.182 0.817 0.784
0.307 0.306 0.500
0.818 0.183 0.784
0.818 0.183 0.216
0.500 0.500 0.750
0.500 0.500 0.250
0.000 0.000 0.500
0.000 0.000 0.000
```

---

[4]
A relaxed NaHfSc crystal, computed with PBE.

Properties
- DOS(E_F): 8.9 states/eV/cell
- Energy: -67.42 eV for the cell shown
- Space-group type: Pnma, No. 62
- Formation enthalpy at 0 K: 0.250 eV per atom

The structure in POSCAR format:
```
NaHfSc
1.0
-2.235 -1.825 3.437
-2.890 -1.959 -2.919
9.044 -12.339 -0.670
Hf Na Sc
4 4 4
direct
0.252 0.750 0.813
0.748 0.250 0.187
0.752 0.750 0.687
0.248 0.250 0.313
0.250 0.250 0.000
0.750 0.250 0.500
0.750 0.750 0.000
0.250 0.750 0.500
0.752 0.250 0.819
0.748 0.750 0.319
0.252 0.250 0.681
0.248 0.750 0.181
```

---

[5]
A relaxed SrNpBeO6 crystal, computed with PBE.

Properties
- DOS(E_F): 15.4 states/eV/cell
- Energy: -138.21 eV for the cell shown
- Space-group type: P-31c, No. 163

The structure in POSCAR format:
```
SrNpBeO6
1.0
-4.428 0.058 -2.516
2.443 -4.405 0.755
-5.419 -1.375 9.507
O Np Be Sr
12 2 2 2
direct
0.382 0.018 0.152
0.018 0.382 0.652
0.018 0.637 0.848
0.363 0.382 0.848
0.982 0.618 0.348
0.618 0.637 0.652
0.363 0.982 0.652
0.982 0.363 0.152
0.637 0.018 0.348
0.382 0.363 0.348
0.618 0.982 0.848
0.637 0.618 0.152
0.667 0.333 0.750
0.333 0.667 0.250
0.667 0.333 0.250
0.333 0.667 0.750
0.000 0.000 0.500
0.000 0.000 0.000
```

---

[6]
A relaxed Ce2PuHgC crystal, computed with PBE.

Properties
- DOS(E_F): 9.4 states/eV/cell
- Energy: -36.60 eV for the cell shown
- Space-group type: P4/mmm, No. 123
- Formation enthalpy at 0 K: -0.174 eV per atom

The structure in POSCAR format:
```
Ce2PuHgC
1.0
-4.519 -1.110 -0.970
0.926 -4.785 1.161
-1.247 0.915 4.765
Ce C Hg Pu
2 1 1 1
direct
0.000 0.000 0.500
0.000 0.500 0.000
0.000 0.000 0.000
0.500 0.500 0.500
0.500 0.000 0.000
```

---

[7]
A relaxed PIr2Se crystal, computed with PBE.

Properties
- DOS(E_F): 3.6 states/eV/cell
- Energy: -25.25 eV for the cell shown
- Space-group type: Fmmm, No. 69

The structure in POSCAR format:
```
PIr2Se
1.0
4.020 2.679 0.632
-4.020 2.679 0.632
0.000 2.004 3.479
Ir P Se
2 1 1
direct
0.000 0.500 0.000
0.500 0.000 0.000
0.500 0.500 0.500
0.000 0.000 0.500
```

---

[8]
A relaxed Pm3Sm2Y6In crystal, computed with PBE.

Properties
- DOS(E_F): 16.9 states/eV/cell
- Energy: -65.85 eV for the cell shown
- Space-group type: C2/m, No. 12
- Formation enthalpy at 0 K: -0.053 eV per atom

The structure in POSCAR format:
```
Pm3Sm2Y6In
1.0
6.169 -0.002 0.000
-3.085 5.342 0.000
-1.031 -1.785 11.606
Pm Y Sm In
3 6 2 1
direct
0.500 0.500 0.500
0.833 0.167 0.500
0.167 0.833 0.500
0.755 0.755 0.246
0.919 0.592 0.755
0.081 0.408 0.245
0.245 0.245 0.754
0.408 0.081 0.245
0.592 0.919 0.755
0.334 0.666 0.000
0.666 0.334 0.000
0.000 0.000 0.000
```

---

[9]
A relaxed Ho3ErTm2 crystal, computed with PBE.

Properties
- DOS(E_F): 17.9 states/eV/cell
- Energy: -52.53 eV for the cell shown
- Space-group type: C2/c, No. 15
- Formation enthalpy at 0 K: 0.162 eV per atom

The structure in POSCAR format:
```
Ho3ErTm2
1.0
-2.680 2.395 5.865
-5.643 -3.829 -1.015
6.101 -6.228 1.297
Ho Tm Er
6 4 2
direct
0.157 0.077 0.315
0.842 0.423 0.685
0.843 0.923 0.685
0.249 0.750 0.000
0.751 0.250 0.000
0.158 0.577 0.315
0.346 0.921 0.691
0.345 0.421 0.691
0.655 0.579 0.309
0.654 0.079 0.309
0.751 0.750 0.000
0.249 0.250 0.000
```

---

[10]
A relaxed Zr2TaNbZn crystal, computed with PBE.

Properties
- DOS(E_F): 11.4 states/eV/cell
- Energy: -35.10 eV for the cell shown
- Space-group type: P4/mmm, No. 123
- Formation enthalpy at 0 K: 1.039 eV per atom

The structure in POSCAR format:
```
Zr2TaNbZn
1.0
-1.364 -3.727 -2.841
3.102 -2.828 2.221
-3.434 -1.218 3.246
Zr Ta Zn Nb
2 1 1 1
direct
0.500 0.000 0.000
0.000 0.000 0.500
0.500 0.500 0.500
0.000 0.000 0.000
0.000 0.500 0.000
```

---

[11]
A relaxed ZrAgHg3 crystal, computed with PBE.

Properties
- DOS(E_F): 3.8 states/eV/cell
- Energy: -8.81 eV for the cell shown
- Space-group type: Pm-3m, No. 221
- Formation enthalpy at 0 K: 0.699 eV per atom

The structure in POSCAR format:
```
ZrAgHg3
1.0
5.114 0.000 0.000
0.000 5.114 0.000
0.000 0.000 5.114
Hg Zr Ag
3 1 1
direct
0.500 0.000 0.000
0.000 0.500 0.000
0.000 0.000 0.500
0.500 0.500 0.500
0.000 0.000 0.000
```

---

[12]
A relaxed KY2Pd crystal, computed with PBE.

Properties
- DOS(E_F): 3.9 states/eV/cell
- Energy: -18.57 eV for the cell shown
- Space-group type: Fm-3m, No. 225
- Formation enthalpy at 0 K: 0.163 eV per atom

The structure in POSCAR format:
```
KY2Pd
1.0
0.000 3.748 3.748
3.748 0.000 3.748
3.748 3.748 0.000
Y Pd K
2 1 1
direct
0.250 0.250 0.250
0.750 0.750 0.750
0.500 0.500 0.500
0.000 0.000 0.000
```

---

> The lowest DOS(E_F) belongs to which entry?

CaCuPd2

---

Repeat the third record exactly.
A relaxed Ho2TmTeO8 crystal, computed with PBE.

Properties
- DOS(E_F): 8.3 states/eV/cell
- Energy: -86.91 eV for the cell shown
- Space-group type: Cmmm, No. 65

The structure in POSCAR format:
```
Ho2TmTeO8
1.0
5.013 -0.056 -0.003
-0.033 5.015 -0.006
0.004 0.008 6.791
O Ho Tm Te
8 2 1 1
direct
0.693 0.694 0.500
0.723 0.724 0.000
0.277 0.276 0.000
0.182 0.817 0.216
0.182 0.817 0.784
0.307 0.306 0.500
0.818 0.183 0.784
0.818 0.183 0.216
0.500 0.500 0.750
0.500 0.500 0.250
0.000 0.000 0.500
0.000 0.000 0.000
```

---

> Which value of DOS(E_F) does entry 6 give?

9.4 states/eV/cell

---

> Among the records above, which one has the lowest DOS(E_F)?

CaCuPd2